(1)
PmBeZnIr | PBE-GGA | optimized geometry

Output
The raw total energy is -5.09 eV per atom. The value obtained for the density of states at the Fermi level is 0.615 states/eV per atom. The calculation puts the total magnetization at 0.0 μB/f.u. For the volume, the calculation gives 18.49 A^3/atom.

a = 4.0747 Å, b = 4.0747 Å, c = 15.4278 Å
α = 90.00°, β = 90.00°, γ = 120.00°
Last column: nearest neighbours and their distance in Å.
Space group R3m (No. 160, hexagonal axes)
Inequivalent atoms, fractional coordinates:
Pm (0.0000, 0.0000, 0.0000) [3 per cell]  4 Ir 3.04-3.22, 4 Zn 3.05-3.15, 3 Be 3.14
Be (0.0000, 0.0000, 0.4676) [3 per cell]  3 Ir 2.36, 3 Zn 2.55
Zn (0.0000, 0.0000, 0.1978) [3 per cell]  3 Be 2.55, 3 Ir 2.61
Ir (0.0000, 0.0000, 0.7912) [3 per cell]  3 Be 2.36, 3 Zn 2.61



(2)
Tl8S4Cl | PBE-GGA | optimized geometry

Output
As for the uncorrected formation energy: -0.352 eV per atom. The raw total energy is -3.22 eV per atom. The value obtained for the density of states at the Fermi level is 0.729 states/eV per atom. The calculation puts the total magnetization at 0.0 μB/f.u. For the volume, the calculation gives 38.11 A^3/atom.

a = 12.5606 Å, b = 12.5606 Å, c = 12.5606 Å
α = 90.00°, β = 90.00°, γ = 90.00°
Last column: nearest neighbours and their distance in Å.
Space group F-43m (No. 216)
Inequivalent atoms, fractional coordinates:
Tl (0.1099, 0.1099, 0.1099) [16 per cell]  3 S 3.05, 1 Cl 3.05
Tl (0.1349, 0.1349, 0.6349) [16 per cell]  3 S 2.94
S (0.1309, 0.1309, 0.8691) [16 per cell]  6 Tl 2.94-3.05
Cl (0.2500, 0.2500, 0.2500) [4 per cell]  4 Tl 3.05



(3)
TaSb2P | PBE-GGA | optimized geometry

Output
As for the uncorrected formation energy: 0.737 eV per atom. The raw total energy is -5.64 eV per atom. The value obtained for the density of states at the Fermi level is 0.574 states/eV per atom. The calculation puts the total magnetization at 1.8 μB/f.u. For the volume, the calculation gives 30.12 A^3/atom.

a = 6.3154 Å, b = 6.3154 Å, c = 12.0822 Å
α = 90.00°, β = 90.00°, γ = 90.00°
Last column: nearest neighbours and their distance in Å.
Space group I-42d (No. 122)
Inequivalent atoms, fractional coordinates:
Ta (0.0000, 0.0000, 0.0000) [4 per cell]  4 Sb 2.72
Sb (0.2424, 0.2500, 0.6250) [8 per cell]  2 P 2.67, 2 Ta 2.72
P (0.0000, 0.0000, 0.5000) [4 per cell]  4 Sb 2.67



(4)
BeC2 | PBE-GGA | optimized geometry

Output
The raw total energy is -5.49 eV per atom. The value obtained for the density of states at the Fermi level is 0.216 states/eV per atom. The calculation puts the total magnetization at 0.0 μB/f.u. For the volume, the calculation gives 6.64 A^3/atom.

a = 6.4332 Å, b = 3.5561 Å, c = 3.4837 Å
α = 90.00°, β = 90.00°, γ = 90.00°
Last column: nearest neighbours and their distance in Å.
Space group Cmcm (No. 63)
Inequivalent atoms, fractional coordinates:
Be (0.0000, 0.1793, 0.2500) [4 per cell]  2 C 1.78
C (0.2278, 0.2386, 0.7500) [8 per cell]  4 C 1.77-1.80, 1 Be 1.78



(5)
Er6CuBi | PBE-GGA | optimized geometry

Output
The raw total energy is -4.37 eV per atom. The value obtained for the density of states at the Fermi level is 1.666 states/eV per atom. The calculation puts the total magnetization at 0.0 μB/f.u. For the volume, the calculation gives 32.02 A^3/atom.

a = 6.8132 Å, b = 6.8384 Å, c = 7.4333 Å
α = 90.41°, β = 116.91°, γ = 119.65°
Last column: nearest neighbours and their distance in Å.
Space group P-1 (No. 2)
Inequivalent atoms, fractional coordinates:
Er (0.0412, 0.0762, 0.2664) [2 per cell]  1 Cu 2.69
Er (0.3003, 0.7244, 0.2655) [2 per cell]  1 Cu 2.68
Er (0.3062, 0.5320, 0.7349) [2 per cell]  1 Cu 2.68
Cu (0.5000, 0.5000, 0.5000) [1 per cell]  6 Er 2.68-2.69
Bi (0.5000, 0.0000, 0.0000) [1 per cell]  6 Er 3.04



(6)
As2Br3Cl5 | PBE-GGA | optimized geometry

Output
As for the uncorrected formation energy: -0.259 eV per atom. The raw total energy is -2.61 eV per atom. The value obtained for the density of states at the Fermi level is 0.716 states/eV per atom. The calculation puts the total magnetization at 0.2 μB/f.u. For the volume, the calculation gives 44.74 A^3/atom.

a = 11.6994 Å, b = 14.0163 Å, c = 10.9131 Å
α = 90.00°, β = 90.00°, γ = 90.00°
Last column: nearest neighbours and their distance in Å.
Space group Ibam (No. 72)
Inequivalent atoms, fractional coordinates:
As (0.0324, 0.1953, 0.0000) [8 per cell]  1 Cl 2.18, 1 Br 2.28
Br (0.0000, 0.0000, 0.2500) [4 per cell]  2 Cl 2.43
Br (0.0374, 0.3581, 0.0000) [8 per cell]  1 As 2.28
Cl (0.0000, 0.1731, 0.2500) [8 per cell]  1 Br 2.43
Cl (0.0000, 0.5000, 0.2500) [4 per cell]  4 Br 3.40
Cl (0.2123, 0.1558, 0.0000) [8 per cell]  1 As 2.18



(7)
Pm3ThPb6 | PBE-GGA | optimized geometry

Output
The raw total energy is -4.77 eV per atom. The value obtained for the density of states at the Fermi level is 0.452 states/eV per atom. The calculation puts the total magnetization at 0.0 μB/f.u. For the volume, the calculation gives 31.39 A^3/atom.

a = 8.9873 Å, b = 7.6772 Å, c = 10.0711 Å
α = 90.00°, β = 115.36°, γ = 90.00°
Last column: nearest neighbours and their distance in Å.
Space group P2_1/c (No. 14)
Inequivalent atoms, fractional coordinates:
Pm (0.0000, 0.0000, 0.0000) [2 per cell]  6 Pb 3.17-3.52
Pm (0.2509, 0.0342, 0.5003) [4 per cell]  8 Pb 3.33-3.43
Th (0.5000, 0.0000, 0.0000) [2 per cell]  8 Pb 3.23-3.60
Pb (0.0989, 0.1430, 0.7414) [4 per cell]  3 Pb 3.08-3.32, 4 Pm 3.28-3.43
Pb (0.2492, 0.7466, 0.7471) [4 per cell]  3 Pm 3.17-3.33, 1 Th 3.23, 4 Pb 3.27-3.32
Pb (0.4009, 0.1502, 0.2590) [4 per cell]  3 Pb 3.08-3.32, 1 Th 3.30, 3 Pm 3.34-3.39



(8)
FeTe2PN | PBE-GGA | optimized geometry

Output
As for the uncorrected formation energy: 0.746 eV per atom. The raw total energy is -4.95 eV per atom. The value obtained for the density of states at the Fermi level is 0.917 states/eV per atom. The calculation puts the total magnetization at 3.0 μB/f.u. For the volume, the calculation gives 19.41 A^3/atom.

a = 5.4696 Å, b = 5.4696 Å, c = 3.2447 Å
α = 90.00°, β = 90.00°, γ = 90.00°
Last column: nearest neighbours and their distance in Å.
Space group P4/mmm (No. 123)
Inequivalent atoms, fractional coordinates:
Fe (0.0000, 0.0000, 0.0000) [1 per cell]  8 Te 3.18, 2 Fe 3.24
Te (0.0000, 0.5000, 0.5000) [2 per cell]  2 P 2.73
P (0.5000, 0.5000, 0.5000) [1 per cell]  2 N 1.62
N (0.5000, 0.5000, 0.0000) [1 per cell]  2 P 1.62



(9)
Nb2VGa2Ru5 | PBE-GGA | optimized geometry

Output
The raw total energy is -8.31 eV per atom. The value obtained for the density of states at the Fermi level is 0.679 states/eV per atom. The calculation puts the total magnetization at 0.0 μB/f.u. For the volume, the calculation gives 15.23 A^3/atom.

a = 9.8366 Å, b = 9.8366 Å, c = 3.1473 Å
α = 90.00°, β = 90.00°, γ = 90.00°
Last column: nearest neighbours and their distance in Å.
Space group P4/mbm (No. 127)
Inequivalent atoms, fractional coordinates:
Nb (0.1721, 0.3279, 0.0000) [4 per cell]  1 Ga 2.67, 6 Ru 2.85-2.86
V (0.0000, 0.0000, 0.0000) [2 per cell]  8 Ru 2.54
Ga (0.1357, 0.6357, 0.0000) [4 per cell]  6 Ru 2.46-2.48, 1 Nb 2.67
Ru (0.0000, 0.5000, 0.5000) [2 per cell]  4 Ga 2.46
Ru (0.0328, 0.8004, 0.5000) [8 per cell]  2 Ga 2.48, 2 V 2.54



(10)
CeDy6Er | PBE-GGA | optimized geometry

Output
The raw total energy is -4.54 eV per atom. The value obtained for the density of states at the Fermi level is 2.093 states/eV per atom. The calculation puts the total magnetization at 1.5 μB/f.u. For the volume, the calculation gives 31.68 A^3/atom.

a = 6.4709 Å, b = 6.7418 Å, c = 6.8514 Å
α = 119.03°, β = 101.97°, γ = 90.66°
Last column: nearest neighbours and their distance in Å.
Space group P-1 (No. 2)
Inequivalent atoms, fractional coordinates:
Ce (0.0000, 0.0000, 0.0000) [1 per cell]  2 Er 3.24, 4 Dy 3.38-3.41
Dy (0.2298, 0.9035, 0.4793) [2 per cell]  5 Dy 3.25-3.62, 1 Er 3.37
Dy (0.2501, 0.4486, 0.0012) [2 per cell]  5 Dy 3.24-3.62, 1 Ce 3.41, 1 Er 3.44
Dy (0.2670, 0.4276, 0.5218) [2 per cell]  6 Dy 3.24-3.62, 1 Ce 3.38
Er (0.5000, 0.0000, 0.0000) [1 per cell]  2 Ce 3.24, 4 Dy 3.37-3.44